## one
Below is Zr2Al2P after structural relaxation, with properties calculated at the PBE level.

POSCAR file:
```
Zr2Al2P
1.0
-4.1306 -5.4246 -0.2949
5.4262 -4.1019 -0.5529
0.1662 -0.3607 4.3071
P Al Zr
2 4 4
Direct
0.0000 0.0000 0.0000 P
0.5000 0.5000 0.0000 P
0.1393 0.6393 0.5000 Al
0.6393 0.8607 0.5000 Al
0.8607 0.3607 0.5000 Al
0.3607 0.1393 0.5000 Al
0.3338 0.8338 0.0000 Zr
0.8338 0.6662 0.0000 Zr
0.6662 0.1662 0.0000 Zr
0.1662 0.3338 0.0000 Zr
```

Its calculated volume is 20.1 A^3/atom. Its density of states at the Fermi level is 4.0 states/eV/cell. As for the total magnetic moment: 0.000 μB/atom.



## two
Below is Zr2Al2P after structural relaxation, with properties calculated at the PBE level.

POSCAR file:
```
Zr2Al2P
1.0
-1.7699 1.7699 7.6883
1.7699 -1.7699 7.6883
1.7699 1.7699 -7.6883
Zr Al P
2 2 1
Direct
0.5952 0.5952 0.0000 Zr
0.4048 0.4048 0.0000 Zr
0.2500 0.7500 0.5000 Al
0.7500 0.2500 0.5000 Al
0.0000 0.0000 0.0000 P
```

Its calculated volume is 19.3 A^3/atom. Its density of states at the Fermi level is 5.1 states/eV/cell. As for the total magnetic moment: 0.000 μB/atom.



## three
Below is Zr2Al2P after structural relaxation, with properties calculated at the PBE level.

POSCAR file:
```
Zr2Al2P
1.0
-1.9656 1.9656 6.8864
1.9656 -1.9656 6.8864
1.9656 1.9656 -6.8864
Zr Al P
2 2 1
Direct
0.2500 0.7500 0.5000 Zr
0.7500 0.2500 0.5000 Zr
0.5894 0.5894 0.0000 Al
0.4106 0.4106 0.0000 Al
0.0000 0.0000 0.0000 P
```

Its calculated volume is 21.3 A^3/atom. Its density of states at the Fermi level is 5.5 states/eV/cell. As for the total magnetic moment: 0.000 μB/atom.



In terms of stability, one leads; the second structure lies 18.8 kJ/mol of atoms higher.



## one
Below is Pa5Al after structural relaxation, with properties calculated at the PBE level.

POSCAR file:
```
Pa5Al
1.0
3.2002 0.0000 0.0000
0.0000 5.4369 0.0000
0.0000 -2.7185 8.1969
Pa Al
5 1
Direct
0.0000 0.6617 0.3234 Pa
0.0000 0.3383 0.6766 Pa
0.5000 0.5000 0.0000 Pa
0.5000 0.1677 0.3354 Pa
0.5000 0.8323 0.6646 Pa
0.0000 0.0000 0.0000 Al
```

Its calculated volume is 23.8 A^3/atom. Its density of states at the Fermi level is 11.8 states/eV/cell. As for the total magnetic moment: 0.000 μB/atom.



## two
Below is Pa5Al after structural relaxation, with properties calculated at the PBE level.

POSCAR file:
```
Pa5Al
1.0
4.5745 0.0000 0.0000
0.0000 4.0919 -1.7925
0.0000 0.7254 7.2228
Pa Al
5 1
Direct
0.5000 0.6603 0.3206 Pa
0.0000 0.8366 0.6732 Pa
0.5000 0.0000 0.0000 Pa
0.0000 0.1634 0.3268 Pa
0.5000 0.3397 0.6794 Pa
0.0000 0.5000 0.0000 Al
```

Its calculated volume is 23.5 A^3/atom. Its density of states at the Fermi level is 11.2 states/eV/cell. As for the total magnetic moment: 0.000 μB/atom.



## three
Below is Pa5Al after structural relaxation, with properties calculated at the PBE level.

POSCAR file:
```
Pa5Al
1.0
3.1518 0.0000 0.0000
-1.5759 2.7296 0.0000
0.0000 0.0000 16.6403
Pa Al
5 1
Direct
0.6667 0.3333 0.8451 Pa
0.0000 0.0000 0.6717 Pa
0.6667 0.3333 0.5000 Pa
0.0000 0.0000 0.3283 Pa
0.6667 0.3333 0.1549 Pa
0.0000 0.0000 0.0000 Al
```

Its calculated volume is 23.9 A^3/atom. Its density of states at the Fermi level is 12.4 states/eV/cell. As for the total magnetic moment: 0.000 μB/atom.



In terms of stability, two leads; the second structure lies 3.7 kJ/mol of atoms higher.



## one
Below is PaAl3 after structural relaxation, with properties calculated at the PBE level.

POSCAR file:
```
PaAl3
1.0
-2.1022 0.0594 -3.7521
-3.3516 -1.9640 1.8467
-1.6877 3.8262 1.0061
Pa Al
1 3
Direct
0.0000 0.0000 0.0000 Pa
0.0000 0.5000 0.5000 Al
0.5000 0.0000 0.5000 Al
0.5000 0.5000 0.0000 Al
```

Its calculated volume is 19.9 A^3/atom. Its density of states at the Fermi level is 4.5 states/eV/cell. As for the total magnetic moment: 0.000 μB/atom.



## two
Below is PaAl3 after structural relaxation, with properties calculated at the PBE level.

POSCAR file:
```
PaAl3
1.0
6.2887 0.0000 0.0000
-3.1443 5.4462 0.0000
0.0000 0.0000 4.5849
Pa Al
2 6
Direct
0.3333 0.6667 0.7500 Pa
0.6667 0.3333 0.2500 Pa
0.1482 0.2964 0.2500 Al
0.7036 0.8518 0.2500 Al
0.1482 0.8518 0.2500 Al
0.8518 0.7036 0.7500 Al
0.2964 0.1482 0.7500 Al
0.8518 0.1482 0.7500 Al
```

Its calculated volume is 19.6 A^3/atom. Its density of states at the Fermi level is 8.7 states/eV/cell. As for the total magnetic moment: 0.000 μB/atom.



## three
Below is PaAl3 after structural relaxation, with properties calculated at the PBE level.

POSCAR file:
```
PaAl3
1.0
4.0632 0.0000 0.0000
0.0000 4.0632 0.0000
-2.0316 -2.0316 5.6300
Pa Al
1 3
Direct
0.0000 0.0000 0.0000 Pa
0.5000 0.5000 0.0000 Al
0.2778 0.2778 0.5556 Al
0.7222 0.7222 0.4444 Al
```

Its calculated volume is 23.2 A^3/atom. Its density of states at the Fermi level is 5.9 states/eV/cell. As for the total magnetic moment: 0.107 μB/atom.



In terms of stability, two leads; the second structure lies 1.3 kJ/mol of atoms higher.



## one
Below is PaAl5 after structural relaxation, with properties calculated at the PBE level.

POSCAR file:
```
PaAl5
1.0
-2.5175 -0.5659 -3.4838
3.4215 -0.0635 -2.4621
-1.3150 -6.0842 1.9386
Pa Al
1 5
Direct
0.0000 0.0000 0.0000 Pa
0.5000 0.8295 0.6589 Al
0.0000 0.6797 0.3594 Al
0.5000 0.5000 0.0000 Al
0.0000 0.3203 0.6406 Al
0.5000 0.1705 0.3411 Al
```

Its calculated volume is 18.8 A^3/atom. Its density of states at the Fermi level is 5.3 states/eV/cell. As for the total magnetic moment: 0.000 μB/atom.



## two
Below is PaAl5 after structural relaxation, with properties calculated at the PBE level.

POSCAR file:
```
PaAl5
1.0
4.0883 0.0000 1.8089
1.3915 4.9505 2.3795
-0.0625 0.0111 5.6658
Pa Al
1 5
Direct
0.5000 0.0000 0.0000 Pa
0.8361 0.8995 0.4283 Al
0.5000 0.5000 0.5000 Al
0.1639 0.1005 0.5717 Al
0.1639 0.5717 0.1005 Al
0.8361 0.4283 0.8995 Al
```

Its calculated volume is 19.2 A^3/atom. Its density of states at the Fermi level is 5.3 states/eV/cell. As for the total magnetic moment: 0.000 μB/atom.



## three
Below is PaAl5 after structural relaxation, with properties calculated at the PBE level.

POSCAR file:
```
PaAl5
1.0
-1.7160 2.5014 -3.0564
2.8758 -2.6774 -3.8059
-4.9982 -1.7425 1.3802
Pa Al
1 5
Direct
0.5000 0.0000 0.0000 Pa
0.0000 0.4989 0.0000 Al
0.0000 0.0000 0.4989 Al
0.0000 0.5011 0.5011 Al
0.5000 0.6667 0.3333 Al
0.5000 0.3333 0.6667 Al
```

Its calculated volume is 18.6 A^3/atom. Its density of states at the Fermi level is 5.5 states/eV/cell. As for the total magnetic moment: 0.054 μB/atom.



In terms of stability, two leads; the second structure lies 0.5 kJ/mol of atoms higher.



## one
Below is PaAl4 after structural relaxation, with properties calculated at the PBE level.

POSCAR file:
```
PaAl4
1.0
-3.7295 -2.2848 -3.4975
4.0680 -3.0530 -2.3435
-0.9506 -4.1013 3.6929
Pa Al
1 4
Direct
0.5000 0.5000 0.5000 Pa
0.0000 0.0000 0.0000 Al
0.5000 0.0000 0.5000 Al
0.0000 0.5000 0.5000 Al
0.5000 0.5000 0.0000 Al
```

Its calculated volume is 35.1 A^3/atom. Its density of states at the Fermi level is 7.6 states/eV/cell. As for the total magnetic moment: 0.057 μB/atom.



## two
Below is PaAl4 after structural relaxation, with properties calculated at the PBE level.

POSCAR file:
```
PaAl4
1.0
-4.3899 -0.3331 0.0242
-0.1383 1.3745 -6.1751
2.7626 -7.2005 1.5775
Pa Al
2 8
Direct
0.8847 0.1347 0.7694 Pa
0.1153 0.8653 0.2306 Pa
0.1103 0.3603 0.2206 Al
0.8897 0.6397 0.7794 Al
0.5000 0.0000 0.0000 Al
0.5000 0.5000 0.0000 Al
0.6984 0.2311 0.3968 Al
0.3016 0.7689 0.6032 Al
0.3016 0.3343 0.6032 Al
0.6984 0.6657 0.3968 Al
```

Its calculated volume is 19.1 A^3/atom. Its density of states at the Fermi level is 10.3 states/eV/cell. As for the total magnetic moment: 0.000 μB/atom.



In terms of stability, two leads; the second structure lies 169.9 kJ/mol of atoms higher.



## one
Below is Pa4Al after structural relaxation, with properties calculated at the PBE level.

POSCAR file:
```
Pa4Al
1.0
-5.1362 1.2398 -0.1571
-0.1164 -1.1361 -5.1612
-1.2443 -5.0115 1.1312
Pa Al
4 1
Direct
0.0000 0.0000 0.0000 Pa
0.5000 0.0000 0.5000 Pa
0.0000 0.5000 0.5000 Pa
0.5000 0.5000 0.0000 Pa
0.5000 0.5000 0.5000 Al
```

Its calculated volume is 29.5 A^3/atom. Its density of states at the Fermi level is 14.4 states/eV/cell. As for the total magnetic moment: 0.184 μB/atom.



## two
Below is Pa4Al after structural relaxation, with properties calculated at the PBE level.

POSCAR file:
```
Pa4Al
1.0
-1.9162 -2.3745 -0.4718
1.5171 -1.6467 2.1259
-7.2719 6.3177 7.8409
Pa Al
4 1
Direct
0.5936 0.5936 0.1873 Pa
0.1983 0.1983 0.3966 Pa
0.8017 0.8017 0.6034 Pa
0.4064 0.4064 0.8127 Pa
0.0000 0.0000 0.0000 Al
```

Its calculated volume is 23.3 A^3/atom. Its density of states at the Fermi level is 8.4 states/eV/cell. As for the total magnetic moment: 0.000 μB/atom.



In terms of stability, two leads; the second structure lies 107.4 kJ/mol of atoms higher.



## one
Below is PaAlPd6 after structural relaxation, with properties calculated at the PBE level.

POSCAR file:
```
PaAlPd6
1.0
-0.9896 -1.7037 -6.0290
-5.6333 -1.6580 2.3974
0.6966 4.5288 0.3594
Pa Al Pd
1 1 6
Direct
0.0000 0.0000 0.0000 Pa
0.5000 0.5000 0.5000 Al
0.2899 0.2899 0.7900 Pd
0.4657 0.0815 0.2735 Pd
0.7101 0.7101 0.2100 Pd
0.9185 0.5343 0.7265 Pd
0.5343 0.9185 0.7265 Pd
0.0815 0.4657 0.2735 Pd
```

Its calculated volume is 19.0 A^3/atom. Its density of states at the Fermi level is 3.0 states/eV/cell. As for the total magnetic moment: 0.000 μB/atom.



## two
Below is PaAlPd6 after structural relaxation, with properties calculated at the PBE level.

POSCAR file:
```
PaAlPd6
1.0
-0.7922 -4.5783 -0.6425
4.7086 -0.3685 -3.1799
0.2888 -0.8392 5.6241
Pa Al Pd
1 1 6
Direct
0.5000 0.4167 0.5833 Pa
0.0000 0.0833 0.9167 Al
0.0000 0.5857 0.9214 Pd
0.0000 0.0786 0.4143 Pd
0.0000 0.5857 0.4143 Pd
0.5000 0.9192 0.5883 Pd
0.5000 0.4117 0.0808 Pd
0.5000 0.9192 0.0808 Pd
```

Its calculated volume is 16.5 A^3/atom. Its density of states at the Fermi level is 2.3 states/eV/cell. As for the total magnetic moment: 0.000 μB/atom.



In terms of stability, two leads; the second structure lies 29.1 kJ/mol of atoms higher.



## one
Below is PmPaAl2 after structural relaxation, with properties calculated at the PBE level.

POSCAR file:
```
PmPaAl2
1.0
-1.7619 -1.5162 -2.0254
2.6030 -4.7326 1.2785
-3.7378 -0.9795 3.9846
Pa Al Pm
1 2 1
Direct
0.5000 0.5000 0.5000 Pa
0.0000 0.0000 0.5000 Al
0.0000 0.5000 0.0000 Al
0.5000 0.0000 0.0000 Pm
```

Its calculated volume is 23.7 A^3/atom. Its density of states at the Fermi level is 6.0 states/eV/cell. As for the total magnetic moment: 0.038 μB/atom.



## two
Below is PmPaAl2 after structural relaxation, with properties calculated at the PBE level.

POSCAR file:
```
PmPaAl2
1.0
-1.5707 -2.3500 1.6541
2.1988 -2.1965 -1.0326
4.9049 1.6311 6.9750
Pa Al Pm
1 2 1
Direct
0.5000 0.5000 0.0000 Pa
0.0000 0.0000 0.7574 Al
0.0000 0.0000 0.2426 Al
0.5000 0.5000 0.5000 Pm
```

Its calculated volume is 23.3 A^3/atom. Its density of states at the Fermi level is 4.4 states/eV/cell. As for the total magnetic moment: 0.000 μB/atom.



In terms of stability, two leads; the second structure lies 8.2 kJ/mol of atoms higher.



## one
Below is PrPaAl after structural relaxation, with properties calculated at the PBE level.

POSCAR file:
```
PrPaAl
1.0
3.0794 0.0000 0.0000
0.0000 5.2235 0.0000
0.0000 -2.6118 4.5237
Pr Pa Al
1 1 1
Direct
0.1700 0.6667 0.3333 Pr
0.1651 0.0000 0.0000 Pa
0.6649 0.3333 0.6667 Al
```

Its calculated volume is 24.3 A^3/atom. Its density of states at the Fermi level is 3.8 states/eV/cell. As for the total magnetic moment: 0.000 μB/atom.



## two
Below is PrPaAl after structural relaxation, with properties calculated at the PBE level.

POSCAR file:
```
PrPaAl
1.0
3.9709 0.0000 0.0000
0.0000 3.9709 0.0000
-1.9854 -1.9854 4.9329
Pr Pa Al
1 1 1
Direct
0.2719 0.2719 0.5438 Pr
0.9651 0.9651 0.9302 Pa
0.6130 0.6130 0.2260 Al
```

Its calculated volume is 25.9 A^3/atom. Its density of states at the Fermi level is 5.2 states/eV/cell. As for the total magnetic moment: 0.001 μB/atom.



In terms of stability, two leads; the second structure lies 4.3 kJ/mol of atoms higher.



## one
Below is PaAl2Pt after structural relaxation, with properties calculated at the PBE level.

POSCAR file:
```
PaAl2Pt
1.0
-3.0672 -1.1365 -2.9023
2.5177 -3.3916 -1.3302
-2.5368 -1.5406 3.2867
Pa Al Pt
1 2 1
Direct
0.5000 0.7509 0.7509 Pa
0.0000 0.4384 0.0598 Al
0.0000 0.0598 0.4384 Al
0.5000 0.2510 0.2510 Pt
```

Its calculated volume is 20.6 A^3/atom. Its density of states at the Fermi level is 2.3 states/eV/cell. As for the total magnetic moment: 0.000 μB/atom.



## two
Below is PaAl2Pt after structural relaxation, with properties calculated at the PBE level.

POSCAR file:
```
PaAl2Pt
1.0
-0.9442 2.9091 -2.9183
-3.0409 2.8388 0.7518
2.1000 5.0537 1.2964
Pa Al Pt
1 2 1
Direct
0.0000 0.0000 0.0000 Pa
0.7873 0.7873 0.6382 Al
0.2127 0.2127 0.3618 Al
0.5000 0.5000 0.5000 Pt
```

Its calculated volume is 19.6 A^3/atom. Its density of states at the Fermi level is 4.8 states/eV/cell. As for the total magnetic moment: 0.000 μB/atom.



In terms of stability, two leads; the second structure lies 4.9 kJ/mol of atoms higher.



## one
Below is PuPa2Al after structural relaxation, with properties calculated at the PBE level.

POSCAR file:
```
PuPa2Al
1.0
-0.5665 -1.2373 3.2646
2.6051 0.0619 2.3914
-1.7362 7.1436 4.3221
Pu Pa Al
1 2 1
Direct
0.6711 0.6711 0.9867 Pu
0.0664 0.0664 0.8009 Pa
0.2631 0.2631 0.2108 Pa
0.4995 0.4995 0.5016 Al
```

Its calculated volume is 22.4 A^3/atom. Its density of states at the Fermi level is 6.8 states/eV/cell. As for the total magnetic moment: 0.216 μB/atom.



## two
Below is PuPa2Al after structural relaxation, with properties calculated at the PBE level.

POSCAR file:
```
PuPa2Al
1.0
3.5523 0.0000 0.0000
1.7761 3.0764 0.0000
1.7761 1.0255 8.0711
Pa Al Pu
2 1 1
Direct
0.2645 0.2645 0.2066 Pa
0.7355 0.7355 0.7934 Pa
0.5000 0.5000 0.5000 Al
0.0000 0.0000 0.0000 Pu
```

Its calculated volume is 22.1 A^3/atom. Its density of states at the Fermi level is 7.9 states/eV/cell. As for the total magnetic moment: 0.371 μB/atom.



## three
Below is PuPa2Al after structural relaxation, with properties calculated at the PBE level.

POSCAR file:
```
PuPa2Al
1.0
3.7476 0.0000 0.0000
0.0000 3.7476 0.0000
0.0000 0.0000 6.4428
Pa Al Pu
2 1 1
Direct
0.0000 0.0000 0.7476 Pa
0.0000 0.0000 0.2524 Pa
0.5000 0.5000 0.0000 Al
0.5000 0.5000 0.5000 Pu
```

Its calculated volume is 22.6 A^3/atom. Its density of states at the Fermi level is 9.5 states/eV/cell. As for the total magnetic moment: 1.359 μB/atom.



## four
Below is PuPa2Al after structural relaxation, with properties calculated at the PBE level.

POSCAR file:
```
PuPa2Al
1.0
-2.9114 2.7357 -1.7558
-1.7152 -3.4229 -2.4890
-2.9376 -0.9705 3.3589
Pa Al Pu
2 1 1
Direct
0.0000 0.0000 0.5000 Pa
0.0000 0.5000 0.0000 Pa
0.5000 0.0000 0.0000 Al
0.5000 0.5000 0.5000 Pu
```

Its calculated volume is 22.8 A^3/atom. Its density of states at the Fermi level is 9.4 states/eV/cell. As for the total magnetic moment: 1.368 μB/atom.



In terms of stability, four leads; the second structure lies 12.5 kJ/mol of atoms higher.